Sr3Nd2PaP6 | GGA-PBE | optimized geometry

```
Sr3Nd2PaP6
1.0
3.663 -6.350 0.000
3.663 6.350 0.000
-2.453 0.000 6.971
Sr Nd Pa P
3 2 1 6
direct
0.000 0.000 0.000
0.330 0.670 0.000
0.670 0.330 0.000
0.166 0.834 0.500
0.834 0.166 0.500
0.500 0.500 0.500
0.109 0.426 0.278
0.257 0.257 0.722
0.426 0.109 0.278
0.574 0.891 0.722
0.743 0.743 0.278
0.891 0.574 0.722
```

- energy of formation (meV per atom) = -1248
- volume (A^3/atom) = 27.023
- calculated density (g cm⁻³) = 4.958
- space group = C2/m, No. 12

---

TbNd2PaP4 | GGA-PBE | optimized geometry

```
TbNd2PaP4
1.0
7.033 0.000 0.000
0.000 4.077 0.000
-2.351 0.000 6.676
Tb Nd Pa P
1 2 1 4
direct
0.000 0.000 0.000
0.000 0.500 0.500
0.500 0.000 0.500
0.500 0.500 0.000
0.252 0.500 0.237
0.259 0.000 0.765
0.741 0.000 0.235
0.748 0.500 0.763
```

- energy of formation (meV per atom) = -1514
- volume (A^3/atom) = 23.928
- calculated density (g cm⁻³) = 6.960
- space group = P2/m, No. 10

---

TbNd3Pa2P6 | GGA-PBE | optimized geometry

```
TbNd3Pa2P6
1.0
3.518 -6.093 0.000
3.518 6.093 0.000
-2.343 0.000 6.669
Tb Nd Pa P
1 3 2 6
direct
0.000 0.000 0.000
0.165 0.835 0.500
0.500 0.500 0.500
0.835 0.165 0.500
0.333 0.667 0.000
0.667 0.333 0.000
0.078 0.418 0.234
0.261 0.261 0.765
0.418 0.078 0.234
0.582 0.922 0.766
0.739 0.739 0.235
0.922 0.582 0.766
```

- energy of formation (meV per atom) = -1490
- volume (A^3/atom) = 23.828
- calculated density (g cm⁻³) = 7.199
- space group = C2/m, No. 12

---

NdPaTeP | GGA-PBE | optimized geometry

```
NdPaTeP
1.0
2.047 1.182 7.493
-2.047 1.182 7.493
0.000 -2.363 7.493
Nd Pa Te P
1 1 1 1
direct
0.000 0.000 0.000
0.194 0.194 0.194
0.768 0.768 0.768
0.593 0.593 0.593
```

- volume (A^3/atom) = 27.181
- calculated density (g cm⁻³) = 8.153
- E_form (uncorrected) (eV/f.u.) = -5.0
- space group = R3m, No. 160

---

Nd2PaTe2P2 | GGA-PBE | optimized geometry

```
Nd2PaTe2P2
1.0
-2.601 2.601 7.936
2.601 -2.601 7.936
2.601 2.601 -7.936
Nd Pa Te P
2 1 2 2
direct
0.111 0.111 0.000
0.889 0.889 0.000
0.500 0.500 0.000
0.311 0.311 0.000
0.689 0.689 0.000
0.000 0.500 0.500
0.500 0.000 0.500
```

- volume (A^3/atom) = 30.686
- calculated density (g cm⁻³) = 6.468
- E_form (uncorrected) (eV/f.u.) = -7.6
- space group = I4/mmm, No. 139

---

NdTh2PaP4 | GGA-PBE | optimized geometry

```
NdTh2PaP4
1.0
7.101 0.000 0.000
0.000 4.102 0.000
-2.367 0.000 6.696
Nd Th Pa P
1 2 1 4
direct
0.000 0.000 0.000
0.500 0.000 0.500
0.500 0.500 0.000
0.000 0.500 0.500
0.241 0.000 0.740
0.246 0.500 0.257
0.754 0.500 0.743
0.759 0.000 0.260
```

- energy of formation (meV per atom) = -1484
- volume (A^3/atom) = 24.378
- calculated density (g cm⁻³) = 8.202
- space group = P2/m, No. 10

---

Nd3ThPa2P6 | GGA-PBE | optimized geometry

```
Nd3ThPa2P6
1.0
3.541 -6.133 0.000
3.541 6.133 0.000
-2.359 0.000 6.688
Nd Th Pa P
3 1 2 6
direct
0.000 0.000 0.000
0.336 0.664 0.000
0.664 0.336 0.000
0.500 0.500 0.500
0.167 0.833 0.500
0.833 0.167 0.500
0.078 0.421 0.263
0.236 0.236 0.736
0.421 0.078 0.263
0.579 0.922 0.737
0.764 0.764 0.264
0.922 0.579 0.737
```

- energy of formation (meV per atom) = -1473
- volume (A^3/atom) = 24.207
- calculated density (g cm⁻³) = 7.504
- space group = C2/m, No. 12

---

Nd2ThPaP4 | GGA-PBE | optimized geometry

```
Nd2ThPaP4
1.0
7.113 0.000 0.000
0.000 4.107 0.000
-2.366 0.000 6.710
Nd Th Pa P
2 1 1 4
direct
0.000 0.000 0.000
0.500 0.500 0.000
0.000 0.500 0.500
0.500 0.000 0.500
0.255 0.000 0.741
0.262 0.500 0.263
0.738 0.500 0.737
0.745 0.000 0.259
```

- energy of formation (meV per atom) = -1492
- volume (A^3/atom) = 24.501
- calculated density (g cm⁻³) = 7.417
- space group = P2/m, No. 10

---

NdTm2PaP4 | GGA-PBE | optimized geometry

```
NdTm2PaP4
1.0
6.891 0.000 0.000
0.000 4.009 0.000
-2.320 0.000 6.553
Nd Tm Pa P
1 2 1 4
direct
0.000 0.000 0.000
0.500 0.000 0.500
0.500 0.500 0.000
0.000 0.500 0.500
0.254 0.000 0.744
0.257 0.500 0.262
0.743 0.500 0.738
0.746 0.000 0.256
```

- energy of formation (meV per atom) = -1507
- volume (A^3/atom) = 22.630
- calculated density (g cm⁻³) = 7.677
- space group = P2/m, No. 10

---

Nd2TmPaP4 | GGA-PBE | optimized geometry

```
Nd2TmPaP4
1.0
6.987 0.000 0.000
0.000 4.059 0.000
-2.344 0.000 6.657
Nd Tm Pa P
2 1 1 4
direct
0.000 0.000 0.000
0.500 0.500 0.000
0.000 0.500 0.500
0.500 0.000 0.500
0.248 0.000 0.733
0.257 0.500 0.266
0.743 0.500 0.734
0.752 0.000 0.267
```

- energy of formation (meV per atom) = -1508
- volume (A^3/atom) = 23.598
- calculated density (g cm⁻³) = 7.145
- space group = P2/m, No. 10

---

NdTmPa2P4 | GGA-PBE | optimized geometry

```
NdTmPa2P4
1.0
6.938 0.000 0.000
0.000 4.007 0.000
-2.314 0.000 6.546
Nd Tm Pa P
1 1 2 4
direct
0.000 0.000 0.000
0.000 0.500 0.500
0.500 0.000 0.500
0.500 0.500 0.000
0.256 0.000 0.746
0.261 0.500 0.260
0.739 0.500 0.740
0.744 0.000 0.254
```

- energy of formation (meV per atom) = -1425
- volume (A^3/atom) = 22.749
- calculated density (g cm⁻³) = 8.204
- space group = P2/m, No. 10

---

Nd4TmPa3P8 | GGA-PBE | optimized geometry

```
Nd4TmPa3P8
1.0
4.048 2.337 6.657
-4.048 2.337 6.657
0.000 -4.674 6.657
Nd Tm Pa P
4 1 3 8
direct
0.000 0.000 0.000
0.000 0.500 0.500
0.500 0.000 0.500
0.500 0.500 0.000
0.500 0.500 0.500
0.000 0.000 0.500
0.000 0.500 0.000
0.500 0.000 0.000
0.242 0.745 0.745
0.245 0.245 0.245
0.255 0.255 0.758
0.255 0.758 0.255
0.745 0.242 0.745
0.745 0.745 0.242
0.755 0.755 0.755
0.758 0.255 0.255
```

- energy of formation (meV per atom) = -1469
- volume (A^3/atom) = 23.613
- calculated density (g cm⁻³) = 7.414
- space group = R-3m, No. 166

---

NdU2PaP4 | GGA-PBE | optimized geometry

```
NdU2PaP4
1.0
6.890 0.000 0.000
0.000 3.967 0.000
-2.289 0.000 6.610
Nd U Pa P
1 2 1 4
direct
0.000 0.000 0.000
0.000 0.500 0.500
0.500 0.000 0.500
0.500 0.500 0.000
0.254 0.000 0.745
0.261 0.500 0.261
0.739 0.500 0.739
0.746 0.000 0.255
```

- energy of formation (meV per atom) = -1181
- volume (A^3/atom) = 22.584
- calculated density (g cm⁻³) = 8.963
- space group = P2/m, No. 10

---

Nd2UPaP4 | GGA-PBE | optimized geometry

```
Nd2UPaP4
1.0
6.994 0.000 0.000
0.000 4.037 0.000
-2.330 0.000 6.679
Nd U Pa P
2 1 1 4
direct
0.000 0.000 0.000
0.500 0.500 0.000
0.000 0.500 0.500
0.500 0.000 0.500
0.244 0.000 0.732
0.255 0.500 0.267
0.745 0.500 0.733
0.756 0.000 0.268
```

- energy of formation (meV per atom) = -1334
- volume (A^3/atom) = 23.572
- calculated density (g cm⁻³) = 7.762
- space group = P2/m, No. 10

---

Nd3U2PaP6 | GGA-PBE | optimized geometry

```
Nd3U2PaP6
1.0
3.492 -6.047 0.000
3.492 6.047 0.000
-2.328 0.000 6.692
Nd U Pa P
3 2 1 6
direct
0.000 0.000 0.000
0.334 0.666 0.000
0.666 0.334 0.000
0.167 0.833 0.500
0.833 0.167 0.500
0.500 0.500 0.500
0.088 0.422 0.267
0.243 0.243 0.733
0.422 0.088 0.267
0.578 0.912 0.733
0.757 0.757 0.267
0.912 0.578 0.733
```

- energy of formation (meV per atom) = -1304
- volume (A^3/atom) = 23.554
- calculated density (g cm⁻³) = 7.788
- space group = C2/m, No. 12

---

Nd4YPa3P8 | GGA-PBE | optimized geometry

```
Nd4YPa3P8
1.0
4.057 2.342 6.662
-4.057 2.342 6.662
0.000 -4.685 6.662
Nd Y Pa P
4 1 3 8
direct
0.000 0.000 0.000
0.000 0.500 0.500
0.500 0.000 0.500
0.500 0.500 0.000
0.500 0.500 0.500
0.000 0.000 0.500
0.000 0.500 0.000
0.500 0.000 0.000
0.240 0.747 0.747
0.245 0.245 0.245
0.253 0.253 0.760
0.253 0.760 0.253
0.747 0.240 0.747
0.747 0.747 0.240
0.755 0.755 0.755
0.760 0.253 0.253
```

- energy of formation (meV per atom) = -1474
- volume (A^3/atom) = 23.744
- calculated density (g cm⁻³) = 7.023
- space group = R-3m, No. 166

---

NdYPa2P4 | GGA-PBE | optimized geometry

```
NdYPa2P4
1.0
6.966 0.000 0.000
0.000 4.021 0.000
-2.321 0.000 6.573
Nd Y Pa P
1 1 2 4
direct
0.000 0.000 0.000
0.500 0.500 0.000
0.000 0.500 0.500
0.500 0.000 0.500
0.251 0.000 0.741
0.258 0.500 0.263
0.742 0.500 0.737
0.749 0.000 0.259
```

- energy of formation (meV per atom) = -1440
- volume (A^3/atom) = 23.019
- calculated density (g cm⁻³) = 7.386
- space group = P2/m, No. 10

---

NdY2PaP4 | GGA-PBE | optimized geometry

```
NdY2PaP4
1.0
6.956 0.000 0.000
0.000 4.040 0.000
-2.335 0.000 6.602
Nd Y Pa P
1 2 1 4
direct
0.000 0.000 0.000
0.500 0.000 0.500
0.500 0.500 0.000
0.000 0.500 0.500
0.248 0.000 0.742
0.252 0.500 0.261
0.748 0.500 0.739
0.752 0.000 0.258
```

- energy of formation (meV per atom) = -1526
- volume (A^3/atom) = 23.197
- calculated density (g cm⁻³) = 6.058
- space group = P2/m, No. 10

---

Nd3Zr2PaP6 | GGA-PBE | optimized geometry

```
Nd3Zr2PaP6
1.0
3.433 -5.946 0.000
3.433 5.946 0.000
-2.291 0.000 6.571
Nd Zr Pa P
3 2 1 6
direct
0.000 0.000 0.000
0.334 0.666 0.000
0.666 0.334 0.000
0.167 0.833 0.500
0.833 0.167 0.500
0.500 0.500 0.500
0.087 0.424 0.272
0.237 0.237 0.725
0.424 0.087 0.272
0.576 0.913 0.728
0.763 0.763 0.275
0.913 0.576 0.728
```

- energy of formation (meV per atom) = -1438
- volume (A^3/atom) = 22.354
- calculated density (g cm⁻³) = 6.389
- space group = C2/m, No. 12

---

Nd3PPb | GGA-PBE | optimized geometry

```
Nd3PPb
1.0
8.881 0.000 0.000
0.000 4.343 0.000
0.000 0.000 15.544
Nd P Pb
12 4 4
direct
0.022 0.250 0.107
0.158 0.250 0.516
0.185 0.750 0.287
0.315 0.250 0.787
0.342 0.750 0.016
0.478 0.750 0.607
0.522 0.250 0.393
0.658 0.250 0.984
0.685 0.750 0.213
0.815 0.250 0.713
0.842 0.750 0.484
0.978 0.750 0.893
0.172 0.250 0.945
0.328 0.750 0.445
0.672 0.250 0.555
0.828 0.750 0.055
0.094 0.750 0.679
0.406 0.250 0.179
0.594 0.750 0.821
0.906 0.250 0.321
```

- polymorph energy (0 for the lowest one) (eV/f.u.) = 0.000
- energy of formation (meV per atom) = -902
- volume (A^3/atom) = 29.976
- calculated density (g cm⁻³) = 7.433
- space group = Pnma, No. 62

---

Nd4PPb2 | GGA-PBE | optimized geometry

```
Nd4PPb2
1.0
-2.673 2.673 8.359
2.673 -2.673 8.359
2.673 2.673 -8.359
Nd P Pb
4 1 2
direct
0.000 0.500 0.500
0.170 0.170 0.000
0.500 0.000 0.500
0.830 0.830 0.000
0.000 0.000 0.000
0.365 0.365 0.000
0.635 0.635 0.000
```

- energy of formation (meV per atom) = -645
- volume (A^3/atom) = 34.117
- calculated density (g cm⁻³) = 7.108
- space group = I4/mmm, No. 139

---

Nd3PPb | GGA-PBE | optimized geometry

```
Nd3PPb
1.0
5.470 0.000 0.000
0.000 5.470 0.000
0.000 0.000 5.470
Nd P Pb
3 1 1
direct
0.000 0.000 0.500
0.000 0.500 0.000
0.500 0.000 0.000
0.000 0.000 0.000
0.500 0.500 0.500
```

- polymorph energy (0 for the lowest one) (eV/f.u.) = 0.923
- energy of formation (meV per atom) = -717
- volume (A^3/atom) = 32.739
- calculated density (g cm⁻³) = 6.806
- space group = Pm-3m, No. 221

---

NdP2Pb | GGA-PBE | optimized geometry

```
NdP2Pb
1.0
2.228 1.287 7.766
-2.228 1.287 7.766
0.000 -2.573 7.766
Nd P Pb
1 2 1
direct
0.000 0.000 0.000
0.391 0.391 0.391
0.609 0.609 0.609
0.500 0.500 0.500
```

- energy of formation (meV per atom) = -146
- volume (A^3/atom) = 33.397
- calculated density (g cm⁻³) = 5.139
- space group = R-3m, No. 166